Record 1
The following is a DFT calculation (PBE-GGA) of a relaxed structure of LiNi.

```
LiNi
1.0
1.253 0.723 4.199
-1.253 0.723 4.199
0.000 -1.447 4.199
Li Ni
1 1
direct
0.000 0.000 0.000 Li
0.500 0.500 0.500 Ni
```

Values from the calculation:
* total magnetization: 0.3 μB per cell
* energy: -3.886 eV per atom
* DFT formation energy: -0.04 eV per atom
* ρ: 4.8 g/cm³

Record 2
The following is a DFT calculation (PBE-GGA) of a relaxed structure of LiNi.

```
LiNi
1.0
6.661 0.000 0.000
0.000 6.661 0.000
0.000 0.000 6.661
Li Ni
6 6
direct
0.000 0.250 0.500 Li
0.000 0.750 0.500 Li
0.250 0.500 0.000 Li
0.500 0.000 0.250 Li
0.500 0.000 0.750 Li
0.750 0.500 0.000 Li
0.000 0.500 0.250 Ni
0.000 0.500 0.750 Ni
0.250 0.000 0.500 Ni
0.500 0.250 0.000 Ni
0.500 0.750 0.000 Ni
0.750 0.000 0.500 Ni
```

Values from the calculation:
* total magnetization: 4.5 μB per cell
* energy: -2.548 eV per atom
* DFT formation energy: 1.30 eV per atom
* ρ: 2.2 g/cm³

Record 3
The following is a DFT calculation (PBE-GGA) of a relaxed structure of LiNi.

```
LiNi
1.0
4.557 0.000 0.000
0.000 4.953 0.000
0.000 0.000 8.245
Li Ni
8 8
direct
0.009 0.118 0.250 Li
0.200 0.860 0.000 Li
0.300 0.140 0.500 Li
0.491 0.882 0.750 Li
0.509 0.382 0.750 Li
0.700 0.640 0.000 Li
0.800 0.360 0.500 Li
0.991 0.618 0.250 Li
0.026 0.604 0.738 Ni
0.190 0.350 0.986 Ni
0.310 0.650 0.486 Ni
0.474 0.396 0.238 Ni
0.526 0.896 0.262 Ni
0.690 0.150 0.014 Ni
0.810 0.850 0.514 Ni
0.974 0.104 0.762 Ni
```

Values from the calculation:
* total magnetization: 0.0 μB per cell
* energy: -3.831 eV per atom
* DFT formation energy: 0.02 eV per atom
* ρ: 4.7 g/cm³

Record 4
The following is a DFT calculation (PBE-GGA) of a relaxed structure of Li2Ni7.

```
Li2Ni7
1.0
2.355 1.360 11.785
-2.355 1.360 11.785
0.000 -2.719 11.785
Li Ni
4 14
direct
0.054 0.054 0.054 Li
0.151 0.151 0.151 Li
0.849 0.849 0.849 Li
0.946 0.946 0.946 Li
0.000 0.500 0.500 Ni
0.110 0.613 0.613 Ni
0.277 0.277 0.277 Ni
0.387 0.387 0.890 Ni
0.387 0.890 0.387 Ni
0.390 0.390 0.390 Ni
0.500 0.000 0.500 Ni
0.500 0.500 0.000 Ni
0.500 0.500 0.500 Ni
0.610 0.610 0.610 Ni
0.613 0.110 0.613 Ni
0.613 0.613 0.110 Ni
0.723 0.723 0.723 Ni
0.890 0.387 0.387 Ni
```

Values from the calculation:
* total magnetization: 6.5 μB per cell
* energy: -4.839 eV per atom
* DFT formation energy: 0.08 eV per atom
* ρ: 6.2 g/cm³

Record 5
The following is a DFT calculation (PBE-GGA) of a relaxed structure of Li5Ni4.

```
Li5Ni4
1.0
7.184 0.000 0.000
-3.592 6.222 0.000
0.000 0.000 4.866
Li Ni
10 8
direct
0.000 0.341 0.250 Li
0.000 0.659 0.750 Li
0.333 0.667 0.000 Li
0.333 0.667 0.500 Li
0.341 0.000 0.250 Li
0.341 0.341 0.750 Li
0.659 0.000 0.750 Li
0.659 0.659 0.250 Li
0.667 0.333 0.000 Li
0.667 0.333 0.500 Li
0.000 0.000 0.000 Ni
0.000 0.000 0.500 Ni
0.000 0.306 0.750 Ni
0.000 0.694 0.250 Ni
0.306 0.000 0.750 Ni
0.306 0.306 0.250 Ni
0.694 0.000 0.250 Ni
0.694 0.694 0.750 Ni
```

Values from the calculation:
* total magnetization: 0.8 μB per cell
* energy: -3.493 eV per atom
* DFT formation energy: 0.14 eV per atom
* ρ: 4.1 g/cm³

Record 6
The following is a DFT calculation (PBE-GGA) of a relaxed structure of LiNi3.

```
LiNi3
1.0
4.170 -1.236 0.000
4.170 1.236 0.000
-0.693 0.000 4.260
Li Ni
1 3
direct
0.000 0.000 0.000 Li
0.243 0.243 0.743 Ni
0.500 0.500 0.500 Ni
0.757 0.757 0.257 Ni
```

Values from the calculation:
* total magnetization: 1.5 μB per cell
* energy: -4.820 eV per atom
* DFT formation energy: -0.01 eV per atom
* ρ: 6.9 g/cm³

The highest DFT formation energy belongs to which entry?
number 2

What did the fourth record say?
The following is a DFT calculation (PBE-GGA) of a relaxed structure of Li2Ni7.

```
Li2Ni7
1.0
2.355 1.360 11.785
-2.355 1.360 11.785
0.000 -2.719 11.785
Li Ni
4 14
direct
0.054 0.054 0.054 Li
0.151 0.151 0.151 Li
0.849 0.849 0.849 Li
0.946 0.946 0.946 Li
0.000 0.500 0.500 Ni
0.110 0.613 0.613 Ni
0.277 0.277 0.277 Ni
0.387 0.387 0.890 Ni
0.387 0.890 0.387 Ni
0.390 0.390 0.390 Ni
0.500 0.000 0.500 Ni
0.500 0.500 0.000 Ni
0.500 0.500 0.500 Ni
0.610 0.610 0.610 Ni
0.613 0.110 0.613 Ni
0.613 0.613 0.110 Ni
0.723 0.723 0.723 Ni
0.890 0.387 0.387 Ni
```

Values from the calculation:
* total magnetization: 6.5 μB per cell
* energy: -4.839 eV per atom
* DFT formation energy: 0.08 eV per atom
* ρ: 6.2 g/cm³